[1]
Computed, not measured: an optimized crystal structure of NaPaZn at the PBE level of DFT.

Cell lengths 4.8065, 4.8065, 4.8065 Å; angles 60.00, 60.00, 60.00 degrees
Site moments in Bohr magnetons follow the coordinates.
Positions (direct):
Na 0.2500 0.2500 0.2500  0.00
Pa 0.7500 0.7500 0.7500  0.88
Zn 0.0000 0.0000 0.0000  0.01

Summary:
The crystal system is cubic. Its energy above the most stable polymorph in this dataset is 0 meV per atom.

=====

[2]
Computed, not measured: an optimized crystal structure of TaPtPb at the PBE level of DFT.

Cell lengths 5.9074, 4.6600, 8.3132 Å; angles 90.00, 90.00, 90.00 degrees
Positions (direct):
Pb 0.2479 0.2500 0.0831
Pb 0.7479 0.2500 0.4169
Pb 0.2521 0.7500 0.5831
Pb 0.7521 0.7500 0.9169
Pt 0.7475 0.2500 0.0865
Pt 0.2475 0.2500 0.4135
Pt 0.7525 0.7500 0.5865
Pt 0.2525 0.7500 0.9135
Ta 0.4955 0.7500 0.2497
Ta 0.9955 0.7500 0.2503
Ta 0.0045 0.2500 0.7497
Ta 0.5045 0.2500 0.7503

Summary:
The crystal system is orthorhombic. As for the total energy: -0.2570 hartree per atom.

=====

[3]
Computed, not measured: an optimized crystal structure of Ta6B5 at the PBE level of DFT.

Cell lengths 5.6017, 5.6017, 5.6032 Å; angles 99.63, 99.63, 119.93 degrees
Positions (direct):
B 0.6667 0.3333 0.0000
B 0.3333 0.6667 0.0000
B 0.8318 0.1682 0.5000
B 0.5000 0.5000 0.5000
B 0.1682 0.8318 0.5000
Ta 0.4267 0.0854 0.2513
Ta 0.0854 0.4267 0.2513
Ta 0.7445 0.7445 0.2590
Ta 0.2555 0.2555 0.7410
Ta 0.9146 0.5733 0.7487
Ta 0.5733 0.9146 0.7487

Summary:
The crystal system is monoclinic. As for the total energy: -0.3706 hartree per atom.

=====

[4]
Computed, not measured: an optimized crystal structure of RbCuSi at the PBE level of DFT.

Cell lengths 4.9767, 4.9767, 4.9767 Å; angles 60.00, 60.00, 60.00 degrees
Positions (direct):
Cu 0.2500 0.2500 0.2500
Rb 0.7500 0.7500 0.7500
Si 0.0000 0.0000 0.0000

Summary:
The crystal system is cubic. Its energy above the most stable polymorph in this dataset is 112 meV per atom.

=====

[5]
Computed, not measured: an optimized crystal structure of ScBeNiSb at the PBE level of DFT.

Cell lengths 4.4477, 4.4477, 4.4477 Å; angles 60.00, 60.00, 60.00 degrees
Positions (direct):
Be 0.5000 0.5000 0.5000
Ni 0.0000 0.0000 0.0000
Sb 0.2500 0.2500 0.2500
Sc 0.7500 0.7500 0.7500

Summary:
The crystal system is cubic. Its energy above the most stable polymorph in this dataset is 0 meV per atom.

=====

[6]
Computed, not measured: an optimized crystal structure of Y3Ho3ReTe2 at the PBE level of DFT.

Cell lengths 8.2712, 8.2712, 4.1314 Å; angles 90.00, 90.00, 120.00 degrees
Positions (direct):
Ho 0.6119 0.0000 0.0000
Ho 0.3881 0.3881 0.0000
Ho 0.0000 0.6119 0.0000
Re 0.0000 0.0000 0.0000
Te 0.6667 0.3333 0.5000
Te 0.3333 0.6667 0.5000
Y 0.2403 0.0000 0.5000
Y 0.0000 0.2403 0.5000
Y 0.7597 0.7597 0.5000

Summary:
The crystal system is hexagonal. Its energy above the most stable polymorph in this dataset is 39 meV per atom.

=====

[7]
Computed, not measured: an optimized crystal structure of TbPm at the PBE level of DFT.

Cell lengths 3.6204, 3.6203, 5.8384 Å; angles 90.00, 90.00, 120.00 degrees
Positions (direct):
Pm 0.6667 0.3333 0.7500
Tb 0.3333 0.6667 0.2500

Summary:
The crystal system is hexagonal. Its energy above the most stable polymorph in this dataset is 0 meV per atom. The value obtained for the formation energy is 0.0254 eV/atom.

=====

[8]
Computed, not measured: an optimized crystal structure of TmMgNi at the PBE level of DFT.

Cell lengths 4.4897, 4.4897, 4.4897 Å; angles 60.00, 60.00, 60.00 degrees
Positions (direct):
Mg 0.2500 0.2500 0.2500
Ni 0.0000 0.0000 0.0000
Tm 0.7500 0.7500 0.7500

Summary:
The crystal system is cubic. As for the total energy: -0.1484 hartree per atom.